Record 1
# TmThCuIr

A geometry-optimized TmThCuIr structure (PBE, Alexandria).

Values from the calculation:
- DFT formation energy: -557 meV/atom
- Total energy: -6.770 eV/atom
- Mass density: 12.7 g/cm3
- Space-group type: No. 216
- Magnetic moment: 0.0 μB/cell

a b c (Å): 7.0111 7.0111 7.0111
angles (deg): 90.00 90.00 90.00
Fractional coordinates of all 16 atoms:
Tm1 0.0000 0.0000 0.0000
Tm2 0.0000 0.5000 0.5000
Tm3 0.5000 0.0000 0.5000
Tm4 0.5000 0.5000 0.0000
Th1 0.0000 0.0000 0.5000
Th2 0.0000 0.5000 0.0000
Th3 0.5000 0.0000 0.0000
Th4 0.5000 0.5000 0.5000
Cu1 0.2500 0.2500 0.2500
Cu2 0.2500 0.7500 0.7500
Cu3 0.7500 0.2500 0.7500
Cu4 0.7500 0.7500 0.2500
Ir1 0.2500 0.2500 0.7500
Ir2 0.2500 0.7500 0.2500
Ir3 0.7500 0.2500 0.2500
Ir4 0.7500 0.7500 0.7500



Record 2
# YThCuIr

A geometry-optimized YThCuIr structure (PBE, Alexandria).

Values from the calculation:
- DFT formation energy: -515 meV/atom
- Total energy: -7.225 eV/atom
- Mass density: 10.9 g/cm3
- Space-group type: No. 216
- Magnetic moment: 0.0 μB/cell
- Excess energy over the best structure of this formula in the dataset: 128 meV/atom

a b c (Å): 7.0602 7.0602 7.0602
angles (deg): 90.00 90.00 90.00
Fractional coordinates of all 16 atoms:
Y1 0.0000 0.0000 0.0000
Y2 0.0000 0.5000 0.5000
Y3 0.5000 0.0000 0.5000
Y4 0.5000 0.5000 0.0000
Th1 0.0000 0.0000 0.5000
Th2 0.0000 0.5000 0.0000
Th3 0.5000 0.0000 0.0000
Th4 0.5000 0.5000 0.5000
Cu1 0.2500 0.2500 0.7500
Cu2 0.2500 0.7500 0.2500
Cu3 0.7500 0.2500 0.2500
Cu4 0.7500 0.7500 0.7500
Ir1 0.2500 0.2500 0.2500
Ir2 0.2500 0.7500 0.7500
Ir3 0.7500 0.2500 0.7500
Ir4 0.7500 0.7500 0.2500



Record 3
# YThCuIr

A geometry-optimized YThCuIr structure (PBE, Alexandria).

Values from the calculation:
- DFT formation energy: -643 meV/atom
- Total energy: -7.353 eV/atom
- Mass density: 10.4 g/cm3
- Space-group type: No. 38
- Magnetic moment: 0.0 μB/cell
- Excess energy over the best structure of this formula in the dataset: 0 meV/atom

a b c (Å): 4.1341 3.9205 11.3087
angles (deg): 90.00 90.00 90.00
Fractional coordinates of all 8 atoms:
Y1 0.0000 0.0000 0.0000
Y2 0.0000 0.5000 0.5000
Th1 0.5000 0.0000 0.7252
Th2 0.5000 0.5000 0.2252
Cu1 0.5000 0.0000 0.4348
Cu2 0.5000 0.5000 0.9348
Ir1 0.0000 0.0000 0.2661
Ir2 0.0000 0.5000 0.7661



Record 4
# Ti4CuIr2

A geometry-optimized Ti4CuIr2 structure (PBE, Alexandria).

Values from the calculation:
- DFT formation energy: -511 meV/atom
- Total energy: -8.139 eV/atom
- Mass density: 9.3 g/cm3
- Space-group type: No. 166
- Magnetic moment: 0.0 μB/cell

a b c (Å): 7.4146 7.4146 7.4146
angles (deg): 34.16 34.16 34.16
Fractional coordinates of all 7 atoms:
Ti1 0.1191 0.1191 0.1191
Ti2 0.3709 0.3709 0.3709
Ti3 0.6291 0.6291 0.6291
Ti4 0.8809 0.8809 0.8809
Cu1 0.5000 0.5000 0.5000
Ir1 0.2467 0.2467 0.2467
Ir2 0.7533 0.7533 0.7533



Record 5
# Ti2CuIr2

A geometry-optimized Ti2CuIr2 structure (PBE, Alexandria).

Values from the calculation:
- DFT formation energy: -527 meV/atom
- Total energy: -8.049 eV/atom
- Mass density: 11.5 g/cm3
- Space-group type: No. 127
- Magnetic moment: 0.0 μB/cell

a b c (Å): 7.3196 7.3196 2.9355
angles (deg): 90.00 90.00 90.00
Fractional coordinates of all 10 atoms:
Ti1 0.1585 0.3415 0.0000
Ti2 0.3415 0.8415 0.0000
Ti3 0.6585 0.1585 0.0000
Ti4 0.8415 0.6585 0.0000
Cu1 0.0000 0.0000 0.5000
Cu2 0.5000 0.5000 0.5000
Ir1 0.1405 0.6405 0.5000
Ir2 0.3595 0.1405 0.5000
Ir3 0.6405 0.8595 0.5000
Ir4 0.8595 0.3595 0.5000



Record 6
# TiCu2Ir2

A geometry-optimized TiCu2Ir2 structure (PBE, Alexandria).

Values from the calculation:
- DFT formation energy: 255 meV/atom
- Total energy: -6.507 eV/atom
- Mass density: 12.2 g/cm3
- Space-group type: No. 139
- Magnetic moment: 0.0 μB/cell
- Excess energy over the best structure of this formula in the dataset: 303 meV/atom

a b c (Å): 3.7104 3.7104 11.0907
angles (deg): 90.00 90.00 90.00
Fractional coordinates of all 10 atoms:
Ti1 0.0000 0.0000 0.0000
Ti2 0.5000 0.5000 0.5000
Cu1 0.0000 0.0000 0.4008
Cu2 0.0000 0.0000 0.5992
Cu3 0.5000 0.5000 0.0992
Cu4 0.5000 0.5000 0.9008
Ir1 0.0000 0.5000 0.2500
Ir2 0.0000 0.5000 0.7500
Ir3 0.5000 0.0000 0.2500
Ir4 0.5000 0.0000 0.7500